# PmHfTaO6 PBE-GGA optimized geometry
# formation energy from raw total energies	-3.288	eV/atom
# density of states at the Fermi level	0.0	states/eV/f.u.
# DFT total energy	-9.5447	eV per atom
data_PmHfTaO6
_cell_length_a 5.3976
_cell_length_b 5.3976
_cell_length_c 10.0074
_cell_angle_alpha 90.00
_cell_angle_beta 90.00
_cell_angle_gamma 120.00
_space_group_name_H-M_alt 'P -3 1 c'
_space_group_IT_number 163
_space_group_name_Hall '-P 3 2c'
loop_
_atom_site_label
_atom_site_type_symbol
_atom_site_fract_x
_atom_site_fract_y
_atom_site_fract_z
Pm1 Pm 0.0000 0.0000 0.0000
Hf1 Hf 0.3333 0.6667 0.2500
Ta1 Ta 0.3333 0.6667 0.7500
O1 O 0.0111 0.3669 0.6403